{
  "formula": "Pr5Ho4Er4",
  "functional": "GGA-PBE",
  "state": "optimized geometry",
  "formation_energy_ev_per_atom": 0.024,
  "energy_ev_per_atom": -4.63,
  "magnetic_moment_mub_per_cell": 0.00,
  "dos_at_fermi_per_ev_atom": 1.46,
  "vol_a3_per_atom": 32.8,
  "lattice_angstrom": [[4.917, 0.000, 1.250], [2.458, 9.168, 0.625], [0.199, 0.000, 9.510]],
  "species": ["Er", "Er", "Er", "Er", "Pr", "Pr", "Pr", "Pr", "Pr", "Ho", "Ho", "Ho", "Ho"],
  "frac_coords": [[0.925, 0.462, 0.689], [0.075, 0.538, 0.311], [0.613, 0.311, 0.462], [0.387, 0.689, 0.538], [0.000, 0.000, 0.000], [0.461, 0.235, 0.843], [0.696, 0.843, 0.765], [0.304, 0.157, 0.235], [0.539, 0.765, 0.157], [0.845, 0.922, 0.389], [0.155, 0.078, 0.611], [0.767, 0.389, 0.078], [0.234, 0.611, 0.922]]
}